No. 1
! Pr4Cd3Pt, optimized geometry, DFT PBE-GGA; values from VASP
! Formation energy = -0.4949 eV/atom
! Space group = P4/mmm (123)
! DFT total energy = -31.86 eV/cell
! Crystal system = tetragonal
&SYSTEM
  ibrav = 0, nat = 8, ntyp = 3
/
ATOMIC_SPECIES
Pr 140.91 Pr.upf
Cd 112.41 Cd.upf
Pt 195.08 Pt.upf
CELL_PARAMETERS angstrom
-2.304 2.735 -1.283
0.299 -1.399 -3.520
-12.217 -9.084 2.571
ATOMIC_POSITIONS crystal
Pr 0.000 0.000 0.370
Pr 0.000 0.000 0.630
Pr 0.000 0.000 0.109
Pr 0.000 0.000 0.891
Cd 0.500 0.500 0.756
Cd 0.500 0.500 0.244
Cd 0.500 0.500 0.500
Pt 0.500 0.500 0.000



No. 2
! Pr3Cd4Pt4, optimized geometry, DFT PBE-GGA; values from VASP
! Formation energy = -0.7256 eV/atom
! Space group = Immm (71)
! DFT total energy = -50.14 eV/cell
! Crystal system = orthorhombic
&SYSTEM
  ibrav = 0, nat = 11, ntyp = 3
/
ATOMIC_SPECIES
Cd 112.41 Cd.upf
Pt 195.08 Pt.upf
Pr 140.91 Pr.upf
CELL_PARAMETERS angstrom
4.162 0.000 0.000
0.000 8.067 0.000
-2.081 -4.034 7.598
ATOMIC_POSITIONS crystal
Cd 0.329 0.135 0.657
Cd 0.671 0.478 0.343
Cd 0.329 0.522 0.657
Cd 0.671 0.865 0.343
Pt 0.232 0.732 0.464
Pt 0.500 0.808 0.000
Pt 0.768 0.268 0.536
Pt 0.500 0.192 0.000
Pr 0.000 0.500 0.000
Pr 0.881 0.881 0.763
Pr 0.119 0.119 0.237



No. 3
! Pr2CdPt, optimized geometry, DFT PBE-GGA; values from VASP
! Formation energy = -0.5946 eV/atom
! Space group = R3m (160)
! Energy relative to the lowest polymorph listed for this composition = 74 meV/atom
! DFT total energy = -18.89 eV/cell
! Crystal system = trigonal
&SYSTEM
  ibrav = 0, nat = 4, ntyp = 3
/
ATOMIC_SPECIES
Cd 112.41 Cd.upf
Pr 140.91 Pr.upf
Pt 195.08 Pt.upf
CELL_PARAMETERS angstrom
-1.380 -3.924 -1.036
2.790 -2.974 -1.318
1.493 -4.603 6.581
ATOMIC_POSITIONS crystal
Cd 0.501 0.501 0.497
Pr 0.266 0.266 0.201
Pr 0.067 0.067 0.798
Pt 0.665 0.665 0.004



No. 4
! PrCd5Pt2, optimized geometry, DFT PBE-GGA; values from VASP
! Formation energy = -0.4331 eV/atom
! Space group = Immm (71)
! DFT total energy = -24.90 eV/cell
! Crystal system = orthorhombic
&SYSTEM
  ibrav = 0, nat = 8, ntyp = 3
/
ATOMIC_SPECIES
Pr 140.91 Pr.upf
Pt 195.08 Pt.upf
Cd 112.41 Cd.upf
CELL_PARAMETERS angstrom
3.926 0.000 1.300
1.470 6.459 2.139
-0.121 -0.448 6.946
ATOMIC_POSITIONS crystal
Pr 0.000 0.000 0.000
Pt 0.280 0.220 0.220
Pt 0.720 0.780 0.780
Cd 0.347 0.840 0.466
Cd 0.653 0.534 0.160
Cd 0.347 0.466 0.840
Cd 0.653 0.160 0.534
Cd 0.000 0.500 0.500



No. 5
! Pr3Cd7Pt4, optimized geometry, DFT PBE-GGA; values from VASP
! Formation energy = -0.5871 eV/atom
! Space group = C2/m (12)
! DFT total energy = -53.13 eV/cell
! Crystal system = monoclinic
&SYSTEM
  ibrav = 0, nat = 14, ntyp = 3
/
ATOMIC_SPECIES
Cd 112.41 Cd.upf
Pt 195.08 Pt.upf
Pr 140.91 Pr.upf
CELL_PARAMETERS angstrom
-2.213 -2.141 3.164
5.787 -4.993 3.749
2.697 4.284 7.865
ATOMIC_POSITIONS crystal
Cd 0.515 0.782 0.187
Cd 0.834 0.396 0.935
Cd 0.485 0.218 0.813
Cd 0.325 0.841 0.509
Cd 0.675 0.159 0.491
Cd 0.000 0.000 0.000
Cd 0.166 0.604 0.065
Pt 0.887 0.908 0.318
Pt 0.658 0.436 0.248
Pt 0.113 0.092 0.682
Pt 0.342 0.564 0.752
Pr 0.700 0.816 0.784
Pr 0.000 0.500 0.500
Pr 0.300 0.184 0.216



No. 6
! PrCdPt2, optimized geometry, DFT PBE-GGA; values from VASP
! Formation energy = -0.7797 eV/atom
! Space group = Pnma (62)
! DFT total energy = -83.58 eV/cell
! Crystal system = orthorhombic
&SYSTEM
  ibrav = 0, nat = 16, ntyp = 3
/
ATOMIC_SPECIES
Cd 112.41 Cd.upf
Pt 195.08 Pt.upf
Pr 140.91 Pr.upf
CELL_PARAMETERS angstrom
-2.822 2.309 2.347
3.969 -1.495 6.242
5.775 8.679 -1.594
ATOMIC_POSITIONS crystal
Cd 0.750 0.545 0.903
Cd 0.750 0.045 0.597
Cd 0.250 0.955 0.403
Cd 0.250 0.455 0.097
Pt 0.250 0.080 0.158
Pt 0.750 0.718 0.466
Pt 0.750 0.920 0.842
Pt 0.750 0.420 0.658
Pt 0.250 0.782 0.966
Pt 0.250 0.580 0.342
Pt 0.750 0.218 0.034
Pt 0.250 0.282 0.534
Pr 0.250 0.198 0.826
Pr 0.750 0.302 0.326
Pr 0.250 0.698 0.674
Pr 0.750 0.802 0.174



No. 7
! PrCd2Pt2, optimized geometry, DFT PBE-GGA; values from VASP
! Formation energy = -0.6221 eV/atom
! Space group = P2_1/m (11)
! DFT total energy = -43.60 eV/cell
! Crystal system = monoclinic
&SYSTEM
  ibrav = 0, nat = 10, ntyp = 3
/
ATOMIC_SPECIES
Pr 140.91 Pr.upf
Cd 112.41 Cd.upf
Pt 195.08 Pt.upf
CELL_PARAMETERS angstrom
4.720 0.000 0.000
0.000 5.409 -0.225
0.000 -1.986 8.897
ATOMIC_POSITIONS crystal
Pr 0.750 0.143 0.777
Pr 0.250 0.857 0.223
Cd 0.250 0.378 0.547
Cd 0.250 0.756 0.854
Cd 0.750 0.244 0.146
Cd 0.750 0.622 0.453
Pt 0.750 0.664 0.001
Pt 0.250 0.336 0.999
Pt 0.750 0.107 0.425
Pt 0.250 0.893 0.575



No. 8
! Pr2CdPt, optimized geometry, DFT PBE-GGA; values from VASP
! Formation energy = -0.5992 eV/atom
! Space group = Fm-3m (225)
! Energy relative to the lowest polymorph listed for this composition = 69 meV/atom
! DFT total energy = -18.91 eV/cell
! Crystal system = cubic
&SYSTEM
  ibrav = 0, nat = 4, ntyp = 3
/
ATOMIC_SPECIES
Pr 140.91 Pr.upf
Cd 112.41 Cd.upf
Pt 195.08 Pt.upf
CELL_PARAMETERS angstrom
5.297 0.000 0.000
2.648 4.587 0.000
2.648 1.529 4.325
ATOMIC_POSITIONS crystal
Pr 0.250 0.250 0.250
Pr 0.750 0.750 0.750
Cd 0.000 0.000 0.000
Pt 0.500 0.500 0.500



No. 9
! Pr2CdPt, optimized geometry, DFT PBE-GGA; values from VASP
! Formation energy = -0.6663 eV/atom
! Space group = P4/mmm (123)
! Energy relative to the lowest polymorph listed for this composition = 2 meV/atom
! DFT total energy = -19.18 eV/cell
! Crystal system = tetragonal
&SYSTEM
  ibrav = 0, nat = 4, ntyp = 3
/
ATOMIC_SPECIES
Cd 112.41 Cd.upf
Pt 195.08 Pt.upf
Pr 140.91 Pr.upf
CELL_PARAMETERS angstrom
3.728 0.000 0.000
0.000 3.728 0.000
0.000 0.000 7.655
ATOMIC_POSITIONS crystal
Cd 0.500 0.500 0.500
Pt 0.500 0.500 0.000
Pr 0.000 0.000 0.224
Pr 0.000 0.000 0.776



No. 10
! Pr11Cd9Pt4, optimized geometry, DFT PBE-GGA; values from VASP
! Formation energy = -0.6166 eV/atom
! Space group = Cmmm (65)
! DFT total energy = -99.77 eV/cell
! Crystal system = orthorhombic
&SYSTEM
  ibrav = 0, nat = 24, ntyp = 3
/
ATOMIC_SPECIES
Pr 140.91 Pr.upf
Pt 195.08 Pt.upf
Cd 112.41 Cd.upf
CELL_PARAMETERS angstrom
3.832 0.000 0.000
0.000 12.516 -5.299
0.000 0.046 13.592
ATOMIC_POSITIONS crystal
Pr 0.000 0.372 0.628
Pr 0.000 0.305 0.305
Pr 0.000 0.837 0.163
Pr 0.000 0.926 0.586
Pr 0.000 0.414 0.074
Pr 0.000 0.628 0.372
Pr 0.000 0.586 0.926
Pr 0.000 0.074 0.414
Pr 0.000 0.695 0.695
Pr 0.000 0.000 0.000
Pr 0.000 0.163 0.837
Pt 0.500 0.751 0.551
Pt 0.500 0.249 0.449
Pt 0.500 0.551 0.751
Pt 0.500 0.449 0.249
Cd 0.500 0.214 0.072
Cd 0.500 0.841 0.366
Cd 0.500 0.928 0.786
Cd 0.500 0.500 0.500
Cd 0.500 0.786 0.928
Cd 0.500 0.072 0.214
Cd 0.500 0.159 0.634
Cd 0.500 0.634 0.159
Cd 0.500 0.366 0.841



No. 11
! Pr3Cd2Pt4, optimized geometry, DFT PBE-GGA; values from VASP
! Formation energy = -0.8381 eV/atom
! Space group = C2/m (12)
! DFT total energy = -47.87 eV/cell
! Crystal system = monoclinic
&SYSTEM
  ibrav = 0, nat = 9, ntyp = 3
/
ATOMIC_SPECIES
Pt 195.08 Pt.upf
Cd 112.41 Cd.upf
Pr 140.91 Pr.upf
CELL_PARAMETERS angstrom
-0.745 -1.404 -4.145
0.435 -4.173 3.712
-9.181 0.847 1.364
ATOMIC_POSITIONS crystal
Pt 0.079 0.159 0.622
Pt 0.921 0.841 0.378
Pt 0.294 0.588 0.918
Pt 0.706 0.412 0.082
Cd 0.324 0.648 0.221
Cd 0.676 0.352 0.779
Pr 0.373 0.747 0.619
Pr 0.627 0.253 0.381
Pr 0.000 0.000 0.000



No. 12
! PrCd3Pt8, optimized geometry, DFT PBE-GGA; values from VASP
! Formation energy = -0.4815 eV/atom
! Space group = R3m (160)
! Energy relative to the lowest polymorph listed for this composition = 0 meV/atom
! DFT total energy = -61.63 eV/cell
! Crystal system = trigonal
&SYSTEM
  ibrav = 0, nat = 12, ntyp = 3
/
ATOMIC_SPECIES
Pt 195.08 Pt.upf
Cd 112.41 Cd.upf
Pr 140.91 Pr.upf
CELL_PARAMETERS angstrom
5.416 0.000 0.000
2.708 4.691 0.000
2.708 1.564 8.809
ATOMIC_POSITIONS crystal
Pt 0.939 0.439 0.182
Pt 0.688 0.688 0.935
Pt 0.189 0.189 0.434
Pt 0.939 0.435 0.687
Pt 0.939 0.939 0.687
Pt 0.439 0.939 0.182
Pt 0.439 0.439 0.182
Pt 0.435 0.939 0.687
Cd 0.371 0.371 0.886
Cd 0.489 0.489 0.533
Cd 0.005 0.005 0.984
Pr 0.877 0.877 0.370



No. 13
! Pr2CdPt, optimized geometry, DFT PBE-GGA; values from VASP
! Formation energy = -0.6684 eV/atom
! Space group = Pmma (51)
! Energy relative to the lowest polymorph listed for this composition = 0 meV/atom
! DFT total energy = -38.38 eV/cell
! Crystal system = orthorhombic
&SYSTEM
  ibrav = 0, nat = 8, ntyp = 3
/
ATOMIC_SPECIES
Pr 140.91 Pr.upf
Cd 112.41 Cd.upf
Pt 195.08 Pt.upf
CELL_PARAMETERS angstrom
3.751 0.000 0.000
0.000 7.443 0.000
0.000 0.000 7.625
ATOMIC_POSITIONS crystal
Pr 0.500 0.507 0.225
Pr 0.500 0.007 0.775
Pr 0.500 0.993 0.225
Pr 0.500 0.493 0.775
Cd 0.000 0.750 0.515
Cd 0.000 0.250 0.485
Pt 0.000 0.250 0.036
Pt 0.000 0.750 0.964



No. 14
! PrCd11Pt, optimized geometry, DFT PBE-GGA; values from VASP
! Formation energy = -0.1837 eV/atom
! Space group = C2/m (12)
! DFT total energy = -23.28 eV/cell
! Crystal system = monoclinic
&SYSTEM
  ibrav = 0, nat = 13, ntyp = 3
/
ATOMIC_SPECIES
Cd 112.41 Cd.upf
Pt 195.08 Pt.upf
Pr 140.91 Pr.upf
CELL_PARAMETERS angstrom
-3.753 -0.378 4.340
-6.975 -1.863 -2.447
-0.302 -7.082 2.931
ATOMIC_POSITIONS crystal
Cd 0.364 0.642 0.657
Cd 0.979 0.358 0.657
Cd 0.000 0.500 0.000
Cd 0.295 0.215 0.209
Cd 0.504 0.215 0.791
Cd 0.500 0.000 0.500
Cd 0.636 0.358 0.343
Cd 0.705 0.785 0.791
Cd 0.021 0.642 0.343
Cd 0.000 0.000 0.500
Cd 0.496 0.785 0.209
Pt 0.500 0.500 0.000
Pr 0.000 0.000 0.000



No. 15
! PrCd8Pt4, optimized geometry, DFT PBE-GGA; values from VASP
! Formation energy = -0.3693 eV/atom
! Space group = I4/mmm (139)
! DFT total energy = -41.07 eV/cell
! Crystal system = tetragonal
&SYSTEM
  ibrav = 0, nat = 13, ntyp = 3
/
ATOMIC_SPECIES
Cd 112.41 Cd.upf
Pt 195.08 Pt.upf
Pr 140.91 Pr.upf
CELL_PARAMETERS angstrom
5.305 0.000 2.133
2.653 6.810 1.066
0.113 0.000 7.385
ATOMIC_POSITIONS crystal
Cd 0.718 0.782 0.782
Cd 0.000 0.659 0.341
Cd 0.282 0.218 0.218
Cd 0.659 0.341 0.341
Cd 0.341 0.659 0.659
Cd 0.500 0.218 0.782
Cd 0.000 0.341 0.659
Cd 0.500 0.782 0.218
Pt 0.000 0.500 0.000
Pt 0.500 0.000 0.500
Pt 0.500 0.500 0.000
Pt 0.000 0.000 0.500
Pr 0.000 0.000 0.000



No. 16
! Pr2CdPt9, optimized geometry, DFT PBE-GGA; values from VASP
! Formation energy = -0.6283 eV/atom
! Space group = R-3m (166)
! DFT total energy = -72.38 eV/cell
! Crystal system = trigonal
&SYSTEM
  ibrav = 0, nat = 12, ntyp = 3
/
ATOMIC_SPECIES
Pt 195.08 Pt.upf
Pr 140.91 Pr.upf
Cd 112.41 Cd.upf
CELL_PARAMETERS angstrom
-3.369 -4.188 -0.981
0.948 -4.865 2.298
-5.766 -0.671 7.453
ATOMIC_POSITIONS crystal
Pt 0.080 0.586 0.748
Pt 0.332 0.332 0.003
Pt 0.414 0.920 0.252
Pt 0.414 0.414 0.252
Pt 0.500 0.500 0.500
Pt 0.586 0.586 0.748
Pt 0.586 0.080 0.748
Pt 0.920 0.414 0.252
Pt 0.668 0.668 0.997
Pr 0.136 0.136 0.592
Pr 0.864 0.864 0.408
Cd 0.000 0.000 0.000



No. 17
! Pr6Cd5Pt, optimized geometry, DFT PBE-GGA; values from VASP
! Formation energy = -0.4365 eV/atom
! Space group = C2/m (12)
! DFT total energy = -44.53 eV/cell
! Crystal system = monoclinic
&SYSTEM
  ibrav = 0, nat = 12, ntyp = 3
/
ATOMIC_SPECIES
Pr 140.91 Pr.upf
Cd 112.41 Cd.upf
Pt 195.08 Pt.upf
CELL_PARAMETERS angstrom
5.306 -0.343 0.875
-0.021 7.184 2.946
1.217 0.397 9.274
ATOMIC_POSITIONS crystal
Pr 0.844 0.078 0.313
Pr 0.500 0.772 0.000
Pr 0.844 0.609 0.313
Pr 0.156 0.922 0.687
Pr 0.156 0.391 0.687
Pr 0.500 0.228 0.000
Cd 0.000 0.500 0.000
Cd 0.333 0.332 0.336
Cd 0.314 0.813 0.373
Cd 0.686 0.187 0.627
Cd 0.667 0.668 0.664
Pt 0.000 0.000 0.000



No. 18
! PrCd3Pt3, optimized geometry, DFT PBE-GGA; values from VASP
! Formation energy = 0.2229 eV/atom
! Space group = Pm-3n (223)
! DFT total energy = -48.17 eV/cell
! Crystal system = cubic
&SYSTEM
  ibrav = 0, nat = 14, ntyp = 3
/
ATOMIC_SPECIES
Pr 140.91 Pr.upf
Cd 112.41 Cd.upf
Pt 195.08 Pt.upf
CELL_PARAMETERS angstrom
-6.714 2.791 0.821
-1.901 -5.772 4.074
2.202 3.525 6.022
ATOMIC_POSITIONS crystal
Pr 0.500 0.500 0.500
Pr 0.000 0.000 0.000
Cd 0.500 0.000 0.750
Cd 0.500 0.000 0.250
Cd 0.000 0.750 0.500
Cd 0.250 0.500 0.000
Cd 0.000 0.250 0.500
Cd 0.750 0.500 0.000
Pt 0.500 0.750 0.000
Pt 0.750 0.000 0.500
Pt 0.500 0.250 0.000
Pt 0.000 0.500 0.250
Pt 0.250 0.000 0.500
Pt 0.000 0.500 0.750



No. 19
! PrPuCdPt, optimized geometry, DFT PBE-GGA; values from VASP
! Formation energy = -0.4251 eV/atom
! Space group = F-43m (216)
! DFT total energy = -27.77 eV/cell
! Crystal system = cubic
&SYSTEM
  ibrav = 0, nat = 4, ntyp = 4
/
ATOMIC_SPECIES
Cd 112.41 Cd.upf
Pt 195.08 Pt.upf
Pr 140.91 Pr.upf
Pu 244.00 Pu.upf
CELL_PARAMETERS angstrom
-2.850 4.318 -0.715
-2.252 0.907 -4.624
-5.188 -0.346 -0.491
ATOMIC_POSITIONS crystal
Cd 0.250 0.250 0.250
Pt 0.750 0.750 0.750
Pr 0.500 0.500 0.500
Pu 0.000 0.000 0.000



No. 20
! Pr2CdPt5Rh2, optimized geometry, DFT PBE-GGA; values from VASP
! Formation energy = -0.6239 eV/atom
! Space group = P4/mbm (127)
! DFT total energy = -123.24 eV/cell
! Crystal system = tetragonal
&SYSTEM
  ibrav = 0, nat = 20, ntyp = 4
/
ATOMIC_SPECIES
Pt 195.08 Pt.upf
Pr 140.91 Pr.upf
Cd 112.41 Cd.upf
Rh 102.91 Rh.upf
CELL_PARAMETERS angstrom
-1.346 -3.327 -2.211
-0.196 -5.204 7.951
-9.005 2.642 1.507
ATOMIC_POSITIONS crystal
Pt 0.500 0.564 0.705
Pt 0.500 0.936 0.205
Pt 0.500 0.795 0.936
Pt 0.500 0.205 0.064
Pt 0.500 0.295 0.564
Pt 0.500 0.500 0.000
Pt 0.500 0.436 0.295
Pt 0.500 0.000 0.500
Pt 0.500 0.064 0.795
Pt 0.500 0.705 0.436
Pr 0.000 0.828 0.672
Pr 0.000 0.672 0.172
Pr 0.000 0.172 0.328
Pr 0.000 0.328 0.828
Cd 0.000 0.500 0.500
Cd 0.000 0.000 0.000
Rh 0.000 0.626 0.874
Rh 0.000 0.874 0.374
Rh 0.000 0.126 0.626
Rh 0.000 0.374 0.126